The following is a DFT calculation (PBE-GGA) of a relaxed structure of InSe3.

**Space group**: Pm-3m
**Energy relative to the elements, uncorrected**: 0.54 eV per atom
**Total magnetic moment**: 2.4 μB per cell
**Calculated volume**: 158 Å³/f.u.

Lattice parameters (Å, degrees): 5.405 5.405 5.405 90.00 90.00 90.00
Positions (direct):
In: 0.000 0.000 0.000
Se: 0.500 0.000 0.000
Se: 0.000 0.000 0.500
Se: 0.000 0.500 0.000